Density functional theory data (PBE) for an optimized crystal structure of CuBi2Br2.

Cell: 7.2908 7.2908 5.7146 Å, 90.00 90.00 90.00°
With the nearest neighbours (Å) after each atom.
Space group P4/mbm (No. 127)
Symmetry-distinct sites (fractional):
Cu 0.0000 0.0000 0.0000 (multiplicity 2)  4 Bi 2.75
Bi 0.1560 0.3440 0.0000 (multiplicity 4)  2 Cu 2.75, 2 Br 2.88
Br 0.1940 0.3060 0.5000 (multiplicity 4)  2 Bi 2.88

Properties
DOS at the Fermi energy, states/eV per atom: 0.300
Formation energy (no corrections), eV per atom: -0.1328

Density functional theory data (PBE) for an optimized crystal structure of Cu2BiBr.

Cell: 6.2852 6.2852 10.4250 Å, 90.00 90.00 90.00°
With the nearest neighbours (Å) after each atom.
Space group I-42d (No. 122)
Symmetry-distinct sites (fractional):
Cu 0.2352 0.2500 0.1250 (multiplicity 8)  2 Br 2.52, 2 Bi 2.63
Bi 0.0000 0.0000 0.5000 (multiplicity 4)  4 Cu 2.63
Br 0.0000 0.0000 0.0000 (multiplicity 4)  4 Cu 2.52

Properties
DOS at the Fermi energy, states/eV per atom: 0.229
Formation energy (no corrections), eV per atom: 0.1676

Density functional theory data (PBE) for an optimized crystal structure of CuBiBr3.

Cell: 6.6062 6.6062 22.1432 Å, 90.00 90.00 120.00°
With the nearest neighbours (Å) after each atom.
Space group R-3 (No. 148, hexagonal axes)
Symmetry-distinct sites (fractional):
Cu 0.0000 0.0000 0.1667 (multiplicity 6)  6 Br 2.62-2.66
Bi 0.0000 0.0000 0.3388 (multiplicity 6)  6 Br 3.08-3.15
Br 0.0060 0.6532 0.5692 (multiplicity 18)  2 Cu 2.62-2.66

Properties
DOS at the Fermi energy, states/eV per atom: 0.316
Formation energy (no corrections), eV per atom: -0.2548

Density functional theory data (PBE) for an optimized crystal structure of CuBi3Br.

Cell: 5.6808 5.6808 5.6808 Å, 90.00 90.00 90.00°
With the nearest neighbours (Å) after each atom.
Space group Pm-3m (No. 221)
Symmetry-distinct sites (fractional):
Cu 0.0000 0.0000 0.0000 (multiplicity 1)  12 Bi 4.02
Bi 0.0000 0.5000 0.5000 (multiplicity 3)  2 Br 2.84
Br 0.5000 0.5000 0.5000 (multiplicity 1)  6 Bi 2.84

Properties
DOS at the Fermi energy, states/eV per atom: 1.442
Formation energy (no corrections), eV per atom: 1.1399

Density functional theory data (PBE) for an optimized crystal structure of CuBiBr5.

Cell: 11.7481 10.5352 10.2292 Å, 90.00 113.54 90.00°
With the nearest neighbours (Å) after each atom.
Space group C2/c (No. 15)
Symmetry-distinct sites (fractional):
Cu 0.0000 0.0000 0.0000 (multiplicity 4)  4 Br 2.34-2.56
Bi 0.0000 0.3009 0.2500 (multiplicity 4)  4 Br 2.67-2.93
Br 0.0000 0.0070 0.2500 (multiplicity 4)  2 Cu 2.56
Br 0.0419 0.2175 0.9992 (multiplicity 8)  1 Cu 2.34
Br 0.1869 0.4636 0.3708 (multiplicity 8)  1 Bi 2.67

Properties
DOS at the Fermi energy, states/eV per atom: 0.272
Formation energy (no corrections), eV per atom: -0.4713

Density functional theory data (PBE) for an optimized crystal structure of CuBiBr3.

Cell: 5.7628 5.7628 5.7628 Å, 90.00 90.00 90.00°
With the nearest neighbours (Å) after each atom.
Space group Pm-3m (No. 221)
Symmetry-distinct sites (fractional):
Cu 0.0000 0.0000 0.0000 (multiplicity 1)  12 Br 4.07
Bi 0.5000 0.5000 0.5000 (multiplicity 1)  6 Br 2.88
Br 0.0000 0.5000 0.5000 (multiplicity 3)  2 Bi 2.88

Properties
DOS at the Fermi energy, states/eV per atom: 0.812
Formation energy (no corrections), eV per atom: 0.1269

Density functional theory data (PBE) for an optimized crystal structure of Cu2BiBr8.

Cell: 7.8936 7.8936 7.3905 Å, 90.00 90.00 120.00°
With the nearest neighbours (Å) after each atom.
Space group P-3m1 (No. 164)
Symmetry-distinct sites (fractional):
Cu 0.3333 0.6667 0.3086 (multiplicity 2)  4 Br 2.31-2.41
Bi 0.0000 0.0000 0.0000 (multiplicity 1)  6 Br 2.85
Br 0.1607 0.3214 0.2454 (multiplicity 6)  1 Cu 2.41
Br 0.3333 0.6667 0.6205 (multiplicity 2)  1 Cu 2.31

Properties
DOS at the Fermi energy, states/eV per atom: 1.693
Formation energy (no corrections), eV per atom: -0.2321

Density functional theory data (PBE) for an optimized crystal structure of Cu3BiBr9.

Cell: 19.9190 8.2923 13.6678 Å, 90.00 127.56 90.00°
With the nearest neighbours (Å) after each atom.
Space group Cc (No. 9)
Symmetry-distinct sites (fractional):
Cu 0.0000 0.0516 0.0000 (multiplicity 4)  4 Br 2.39-2.41
Cu 0.1094 0.4029 0.9315 (multiplicity 4)  4 Br 2.38-2.41
Cu 0.4021 0.1320 0.6080 (multiplicity 4)  4 Br 2.38-2.46
Bi 0.2546 0.2388 0.7629 (multiplicity 4)  6 Br 2.86-2.94
Br 0.0430 0.3728 0.2961 (multiplicity 4)  2 Cu 2.38-2.39
Br 0.0672 0.1291 0.9094 (multiplicity 4)  2 Cu 2.38-2.40
Br 0.1246 0.4780 0.6042 (multiplicity 4)  1 Cu 2.40
Br 0.1306 0.0074 0.2032 (multiplicity 4)  1 Cu 2.41
Br 0.2347 0.3637 0.9449 (multiplicity 4)  1 Cu 2.41
Br 0.2715 0.1129 0.5818 (multiplicity 4)  1 Cu 2.41
Br 0.3736 0.4874 0.8004 (multiplicity 4)  1 Cu 2.39
Br 0.3957 0.0706 0.9706 (multiplicity 4)  1 Cu 2.46
Br 0.4214 0.4055 0.5784 (multiplicity 4)  2 Cu 2.38-2.40

Properties
DOS at the Fermi energy, states/eV per atom: 0.806
Formation energy (no corrections), eV per atom: -0.3535

Density functional theory data (PBE) for an optimized crystal structure of Cu2BiBr4.

Cell: 8.4820 8.4820 6.3214 Å, 90.00 90.00 90.00°
With the nearest neighbours (Å) after each atom.
Space group I4/m (No. 87)
Symmetry-distinct sites (fractional):
Cu 0.0000 0.5000 0.2500 (multiplicity 4)  4 Br 2.47
Bi 0.0000 0.0000 0.0000 (multiplicity 2)  4 Br 2.93
Br 0.1323 0.3187 0.0000 (multiplicity 8)  2 Cu 2.47

Properties
Formation energy (no corrections), eV per atom: -0.3117

Density functional theory data (PBE) for an optimized crystal structure of CuBi3Br.

Cell: 5.3353 5.3353 5.3353 Å, 90.00 90.00 90.00°
With the nearest neighbours (Å) after each atom.
Space group Pm-3m (No. 221)
Symmetry-distinct sites (fractional):
Cu 0.0000 0.0000 0.0000 (multiplicity 1)  6 Bi 2.67
Bi 0.0000 0.0000 0.5000 (multiplicity 3)  2 Cu 2.67
Br 0.5000 0.5000 0.5000 (multiplicity 1)  12 Bi 3.77

Properties
DOS at the Fermi energy, states/eV per atom: 1.376
Formation energy (no corrections), eV per atom: 0.3483

Density functional theory data (PBE) for an optimized crystal structure of Cu2BiBr.

Cell: 6.9299 6.9299 6.9299 Å, 90.00 90.00 90.00°
With the nearest neighbours (Å) after each atom.
Space group Fm-3m (No. 225)
Symmetry-distinct sites (fractional):
Cu 0.2500 0.2500 0.2500 (multiplicity 8)  4 Bi 3.00, 4 Br 3.00
Bi 0.0000 0.0000 0.0000 (multiplicity 4)  8 Cu 3.00
Br 0.0000 0.0000 0.5000 (multiplicity 4)  8 Cu 3.00

Properties
DOS at the Fermi energy, states/eV per atom: 1.515
Formation energy (no corrections), eV per atom: 0.6012

Density functional theory data (PBE) for an optimized crystal structure of FeCuBi2Br.

Cell: 5.0810 5.0810 4.7688 Å, 90.00 90.00 90.00°
With the nearest neighbours (Å) after each atom.
Space group P4/mmm (No. 123)
Symmetry-distinct sites (fractional):
Fe 0.0000 0.0000 0.0000 (multiplicity 1)  2 Cu 2.38, 4 Bi 2.54
Cu 0.0000 0.0000 0.5000 (multiplicity 1)  2 Fe 2.38
Bi 0.0000 0.5000 0.0000 (multiplicity 2)  2 Fe 2.54
Br 0.5000 0.5000 0.5000 (multiplicity 1)  8 Bi 3.48, 4 Cu 3.59

Properties
DOS at the Fermi energy, states/eV per atom: 0.496
Formation energy (no corrections), eV per atom: 0.4134

Density functional theory data (PBE) for an optimized crystal structure of KCuBiBr6.

Cell: 7.0793 7.0804 7.3366 Å, 93.34 93.35 114.94°
With the nearest neighbours (Å) after each atom.
Space group P1 (No. 1)
Symmetry-distinct sites (fractional):
K 0.0000 0.0000 0.0000 (multiplicity 1)  6 Br 3.34-3.50
Cu 0.6787 0.3168 0.5019 (multiplicity 1)  4 Br 2.46-2.48
Bi 0.3341 0.6643 0.5001 (multiplicity 1)  6 Br 2.78-2.99
Br 0.9999 0.3488 0.6822 (multiplicity 1)  1 Cu 2.48
Br 0.0115 0.6187 0.2416 (multiplicity 1)  1 Bi 2.78
Br 0.3813 0.9890 0.7576 (multiplicity 1)  1 Bi 2.78
Br 0.4193 0.3450 0.2805 (multiplicity 1)  1 Cu 2.46
Br 0.6507 0.9988 0.3193 (multiplicity 1)  1 Cu 2.48
Br 0.6532 0.5793 0.7214 (multiplicity 1)  1 Cu 2.46

Properties
DOS at the Fermi energy, states/eV per atom: 0.050
Formation energy (no corrections), eV per atom: -0.7904

Density functional theory data (PBE) for an optimized crystal structure of MgCu2BiBr.

Cell: 4.7004 4.7004 6.1886 Å, 90.00 90.00 90.00°
With the nearest neighbours (Å) after each atom.
Space group P4/mmm (No. 123)
Symmetry-distinct sites (fractional):
Mg 0.0000 0.0000 0.0000 (multiplicity 1)  4 Bi 3.32
Cu 0.0000 0.5000 0.5000 (multiplicity 2)  2 Br 2.35
Bi 0.5000 0.5000 0.0000 (multiplicity 1)  2 Br 3.09, 4 Mg 3.32
Br 0.5000 0.5000 0.5000 (multiplicity 1)  4 Cu 2.35

Properties
DOS at the Fermi energy, states/eV per atom: 0.418
Formation energy (no corrections), eV per atom: 0.6488

Density functional theory data (PBE) for an optimized crystal structure of NaCuBiBr5.

Cell: 8.8700 12.4432 10.4497 Å, 90.00 113.33 90.00°
With the nearest neighbours (Å) after each atom.
Space group C2/c (No. 15)
Symmetry-distinct sites (fractional):
Na 0.0000 0.1223 0.2500 (multiplicity 4)  4 Br 3.03-3.04
Cu 0.0000 0.1922 0.7500 (multiplicity 4)  4 Br 2.45-2.47
Bi 0.0000 0.5000 0.0000 (multiplicity 4)  6 Br 2.89-2.92
Br 0.0000 0.3953 0.2500 (multiplicity 4)  2 Bi 2.92
Br 0.1463 0.3032 0.6426 (multiplicity 8)  1 Cu 2.45
Br 0.1642 0.0674 0.9365 (multiplicity 8)  1 Cu 2.47

Properties
Formation energy (no corrections), eV per atom: -0.7987

Density functional theory data (PBE) for an optimized crystal structure of Cu2BiPBr.

Cell: 5.1126 5.1126 5.8477 Å, 90.00 90.00 90.00°
With the nearest neighbours (Å) after each atom.
Space group P4/mmm (No. 123)
Symmetry-distinct sites (fractional):
Cu 0.0000 0.5000 0.0000 (multiplicity 2)  2 Bi 2.56
Bi 0.0000 0.0000 0.0000 (multiplicity 1)  4 Cu 2.56
P 0.5000 0.5000 0.5000 (multiplicity 1)  4 Br 3.62, 8 Cu 3.88
Br 0.0000 0.0000 0.5000 (multiplicity 1)  2 Bi 2.92

Properties
DOS at the Fermi energy, states/eV per atom: 0.094
Formation energy (no corrections), eV per atom: 1.0003

Density functional theory data (PBE) for an optimized crystal structure of CuBi2PdBr.

Cell: 5.7470 5.7470 4.4130 Å, 90.00 90.00 90.00°
With the nearest neighbours (Å) after each atom.
Space group P4/mmm (No. 123)
Symmetry-distinct sites (fractional):
Cu 0.0000 0.0000 0.0000 (multiplicity 1)  2 Br 2.21
Bi 0.0000 0.5000 0.5000 (multiplicity 2)  2 Br 2.87
Pd 0.5000 0.5000 0.0000 (multiplicity 1)  8 Bi 3.62
Br 0.0000 0.0000 0.5000 (multiplicity 1)  2 Cu 2.21

Properties
DOS at the Fermi energy, states/eV per atom: 0.483
Formation energy (no corrections), eV per atom: 0.8783

Density functional theory data (PBE) for an optimized crystal structure of Rb2Cu2BiBr6.

Cell: 14.5037 7.7034 7.6041 Å, 90.00 113.13 90.00°
With the nearest neighbours (Å) after each atom.
Space group C2/m (No. 12)
Symmetry-distinct sites (fractional):
Rb 0.2265 0.0000 0.2094 (multiplicity 4)  5 Br 3.48-3.63
Cu 0.0430 0.5000 0.1965 (multiplicity 4)  3 Br 2.34-2.43
Bi 0.0000 0.0000 0.5000 (multiplicity 2)  4 Br 2.91
Br 0.0631 0.2553 0.8059 (multiplicity 8)  1 Cu 2.43
Br 0.2175 0.5000 0.3021 (multiplicity 4)  1 Cu 2.34

Properties
DOS at the Fermi energy, states/eV per atom: 0.145
Formation energy (no corrections), eV per atom: -0.8437

Density functional theory data (PBE) for an optimized crystal structure of CuBiS2Br.

Cell: 7.7056 4.6024 8.8436 Å, 90.00 111.69 90.00°
With the nearest neighbours (Å) after each atom.
Space group P2_1/m (No. 11)
Symmetry-distinct sites (fractional):
Cu 0.1592 0.2500 0.0886 (multiplicity 2)  4 S 2.24-2.31
Bi 0.2330 0.7500 0.4279 (multiplicity 2)  4 S 2.79-2.94, 1 Br 3.01
S 0.1382 0.7500 0.0899 (multiplicity 2)  3 Cu 2.25-2.31
S 0.3785 0.2500 0.3405 (multiplicity 2)  1 Cu 2.24
Br 0.1844 0.2500 0.6687 (multiplicity 2)  3 Bi 3.01-3.25

Properties
DOS at the Fermi energy, states/eV per atom: 0.130
Formation energy (no corrections), eV per atom: -0.3133

Density functional theory data (PBE) for an optimized crystal structure of CuBi2SbBr.

Cell: 5.4429 5.4429 4.7278 Å, 90.00 90.00 90.00°
With the nearest neighbours (Å) after each atom.
Space group P4/mmm (No. 123)
Symmetry-distinct sites (fractional):
Cu 0.0000 0.0000 0.0000 (multiplicity 1)  2 Br 2.36
Bi 0.0000 0.5000 0.0000 (multiplicity 2)  2 Cu 2.72
Sb 0.5000 0.5000 0.5000 (multiplicity 1)  8 Bi 3.60, 4 Br 3.85
Br 0.0000 0.0000 0.5000 (multiplicity 1)  2 Cu 2.36

Properties
DOS at the Fermi energy, states/eV per atom: 0.618
Formation energy (no corrections), eV per atom: 0.2789

Density functional theory data (PBE) for an optimized crystal structure of CuBiSe2Br.

Cell: 4.9516 4.9516 4.7839 Å, 90.00 90.00 90.00°
With the nearest neighbours (Å) after each atom.
Space group P4/mmm (No. 123)
Symmetry-distinct sites (fractional):
Cu 0.0000 0.0000 0.0000 (multiplicity 1)  2 Br 2.39, 4 Se 2.48
Bi 0.5000 0.5000 0.5000 (multiplicity 1)  8 Se 3.44, 4 Br 3.50
Se 0.0000 0.5000 0.0000 (multiplicity 2)  2 Cu 2.48
Br 0.0000 0.0000 0.5000 (multiplicity 1)  2 Cu 2.39

Properties
DOS at the Fermi energy, states/eV per atom: 0.487
Formation energy (no corrections), eV per atom: 0.0874

Density functional theory data (PBE) for an optimized crystal structure of CuBiSe2Br.

Cell: 7.0683 4.4215 10.5781 Å, 90.00 108.90 90.00°
With the nearest neighbours (Å) after each atom.
Space group P2_1/m (No. 11)
Symmetry-distinct sites (fractional):
Cu 0.1391 0.2500 0.1476 (multiplicity 2)  4 Se 2.41-2.53, 1 Br 2.61
Bi 0.1697 0.2500 0.6845 (multiplicity 2)  4 Se 2.85-3.14, 2 Br 3.07
Se 0.0015 0.2500 0.8952 (multiplicity 2)  3 Cu 2.41-2.53
Se 0.1090 0.2500 0.3773 (multiplicity 2)  1 Cu 2.51
Br 0.4758 0.7500 0.8081 (multiplicity 2)  1 Cu 2.61

Properties
DOS at the Fermi energy, states/eV per atom: 0.118
Formation energy (no corrections), eV per atom: -0.3181

Density functional theory data (PBE) for an optimized crystal structure of TlCuBiBr5.

Cell: 9.3297 12.6528 10.6155 Å, 90.00 113.65 90.00°
With the nearest neighbours (Å) after each atom.
Space group C2/c (No. 15)
Symmetry-distinct sites (fractional):
Tl 0.0000 0.1365 0.2500 (multiplicity 4)  5 Br 3.32-3.44
Cu 0.0000 0.1956 0.7500 (multiplicity 4)  4 Br 2.44-2.50
Bi 0.0000 0.5000 0.0000 (multiplicity 4)  6 Br 2.89-2.92
Br 0.0000 0.4087 0.2500 (multiplicity 4)  2 Bi 2.89
Br 0.1167 0.2937 0.6176 (multiplicity 8)  1 Cu 2.44
Br 0.1805 0.0743 0.9291 (multiplicity 8)  1 Cu 2.50

Properties
Formation energy (no corrections), eV per atom: -0.6415

Density functional theory data (PBE) for an optimized crystal structure of Dy2BiBr.

Cell: 3.5757 3.5757 32.6760 Å, 90.00 90.00 120.00°
With the nearest neighbours (Å) after each atom.
Space group R-3m (No. 166, hexagonal axes)
Symmetry-distinct sites (fractional):
Dy 0.0000 0.0000 0.0948 (multiplicity 6)  1 Bi 3.10, 3 Br 3.13
Bi 0.0000 0.0000 0.0000 (multiplicity 3)  2 Dy 3.10
Br 0.0000 0.0000 0.5000 (multiplicity 3)  6 Dy 3.13

Properties
DOS at the Fermi energy, states/eV per atom: 0.579
Formation energy (no corrections), eV per atom: -0.4686

Number 1: M_tot 0.00 μB/atom. Number 2: M_tot 0.00 μB/atom. Number 3: M_tot 0.00 μB/atom. Number 4: M_tot 0.00 μB/atom. Number 5: M_tot 0.00 μB/atom. Number 6: M_tot 0.13 μB/atom. Number 7: M_tot 0.14 μB/atom. Number 8: M_tot 0.00 μB/atom. Number 9: M_tot 0.14 μB/atom. Number 10: M_tot 0.00 μB/atom. Number 11: M_tot 0.00 μB/atom. Number 12: M_tot 0.23 μB/atom. Number 13: M_tot 0.11 μB/atom. Number 14: M_tot 0.00 μB/atom. Number 15: M_tot 0.02 μB/atom. Number 16: M_tot 0.60 μB/atom. Number 17: M_tot 0.00 μB/atom. Number 18: M_tot 0.09 μB/atom. Number 19: M_tot 0.00 μB/atom. Number 20: M_tot 0.00 μB/atom. Number 21: M_tot 0.00 μB/atom. Number 22: M_tot 0.00 μB/atom. Number 23: M_tot 0.02 μB/atom. Number 24: M_tot 0.00 μB/atom.